Density functional theory data (PBE with a Hubbard U) for K4Er3MnO8 after structural relaxation.

* space-group type: C2/m
* crystal system: monoclinic
* calculated total energy: -104.41 eV per cell

The structure in CIF format:
```
data_K4Er3MnO8
_symmetry_space_group_name_H-M 'P 1'
_symmetry_Int_Tables_number 1
_cell_length_a 6.6619
_cell_length_b 7.3146
_cell_length_c 6.8331
_cell_angle_alpha 117.15
_cell_angle_beta 119.17
_cell_angle_gamma 90.00
loop_
_symmetry_equiv_pos_as_xyz
'x,y,z'
loop_
_atom_site_label
_atom_site_type_symbol
_atom_site_fract_x
_atom_site_fract_y
_atom_site_fract_z
_atom_site_occupancy
K1 K 0.5000 0.0000 0.0000 1
K2 K 0.5000 0.0000 0.5000 1
K3 K 0.0000 0.0000 0.0000 1
K4 K 0.0000 0.0000 0.5000 1
Er1 Er 0.5000 0.5000 0.0000 1
Er2 Er 0.5000 0.5000 0.5000 1
Er3 Er 0.0000 0.5000 0.5000 1
Mn1 Mn 0.0000 0.5000 0.0000 1
O1 O 0.2049 0.6705 0.9574 1
O2 O 0.2501 0.7047 0.5001 1
O3 O 0.2767 0.3156 0.5535 1
O4 O 0.7524 0.6705 0.9574 1
O5 O 0.2476 0.3295 0.0426 1
O6 O 0.7233 0.6844 0.4465 1
O7 O 0.7499 0.2953 0.4999 1
O8 O 0.7951 0.3295 0.0426 1
```